Ac6Ru2I2Cl after structural relaxation, computed with PBE.

ΔE_f (raw) in kJ per mole of atoms: -73.3
Symmetry: No. 12
E_tot in eV per atom: -5.1371
Total magnetization in Bohr magnetons per cell: 0.59

Cell: 7.6532 7.6532 8.8128 Å, 98.05 98.05 118.68°
Last column: nearest neighbours and their distance in Å.
Atoms (fractional coordinates):
1 Ac 0.6874 0.6874 0.6958  2 Ru 2.96
2 Ac 0.0607 0.4183 0.6906  2 Ru 2.92-2.97, 1 Cl 3.18
3 Ac 0.3126 0.3126 0.3042  2 Ru 2.96
4 Ac 0.4183 0.0607 0.6906  2 Ru 2.92-2.97, 1 Cl 3.18
5 Ac 0.9393 0.5817 0.3094  2 Ru 2.92-2.97, 1 Cl 3.18
6 Ac 0.5817 0.9393 0.3094  2 Ru 2.92-2.97, 1 Cl 3.18
7 Ru 0.3296 0.6704 0.5000  6 Ac 2.92-2.97
8 Ru 0.6704 0.3296 0.5000  6 Ac 2.92-2.97
9 I 0.8368 0.1632 0.0000  6 Ac 3.58-3.76
10 I 0.1632 0.8368 0.0000  6 Ac 3.58-3.76
11 Cl 0.0000 0.0000 0.5000  6 Ac 3.18-3.35

Ac4Si2ICl after structural relaxation, computed with PBE.

ΔE_f (raw) in kJ per mole of atoms: -87.4
Symmetry: No. 42
E_tot in eV per atom: -4.7404
Total magnetization in Bohr magnetons per cell: 0.00

Cell: 6.4799 6.4799 7.8423 Å, 114.40 114.40 90.00°
Last column: nearest neighbours and their distance in Å.
Atoms (fractional coordinates):
1 Ac 0.9372 0.4369 0.0000  2 Si 3.18, 2 Cl 3.24, 2 I 3.24
2 Ac 0.4369 0.9372 0.0000  2 Si 3.18, 2 Cl 3.24, 2 I 3.24
3 Ac 0.1950 0.1950 0.5155  1 Cl 3.08, 4 Si 3.24, 1 I 3.28
4 Ac 0.6795 0.6795 0.4845  1 Cl 3.08, 4 Si 3.24, 1 I 3.28
5 Si 0.1873 0.6873 0.5000  6 Ac 3.18-3.24
6 Si 0.6873 0.1873 0.5000  6 Ac 3.18-3.24
7 I 0.9368 0.9368 0.0000  6 Ac 3.24-3.28
8 Cl 0.4374 0.4374 0.0000  6 Ac 3.08-3.24

Ac4TcI2Cl after structural relaxation, computed with PBE.

ΔE_f (raw) in kJ per mole of atoms: -78.3
Symmetry: No. 10
E_tot in eV per atom: -4.7804
Total magnetization in Bohr magnetons per cell: 0.00

Cell: 4.3801 8.0399 8.8476 Å, 104.99 90.00 90.00°
Last column: nearest neighbours and their distance in Å.
Atoms (fractional coordinates):
1 Ac 0.5000 0.2655 0.1972  1 Tc 2.88
2 Ac 0.5000 0.7345 0.8028  1 Tc 2.88
3 Ac 0.0000 0.2972 0.8116  2 Tc 2.97, 1 Cl 3.25
4 Ac 0.0000 0.7028 0.1884  2 Tc 2.97, 1 Cl 3.25
5 Tc 0.5000 0.5000 0.0000  6 Ac 2.88-2.97
6 I 0.5000 0.0000 0.5000  6 Ac 3.83
7 I 0.0000 0.5000 0.5000  6 Ac 3.55-3.59
8 Cl 0.0000 0.0000 0.0000  6 Ac 3.24-3.25

AcInCl4 after structural relaxation, computed with PBE.

ΔE_f (raw) in kJ per mole of atoms: -186.3
Symmetry: No. 62
E_tot in eV per atom: -4.3032
Total magnetization in Bohr magnetons per cell: 0.00

Cell: 4.5571 7.8222 19.9071 Å, 90.00 90.00 90.00°
Last column: nearest neighbours and their distance in Å.
Atoms (fractional coordinates):
1 Ac 0.7500 0.2473 0.4392  9 Cl 3.01-3.12
2 Ac 0.2500 0.7527 0.5608  9 Cl 3.01-3.12
3 Ac 0.2500 0.2527 0.9392  9 Cl 3.01-3.12
4 Ac 0.7500 0.7473 0.0608  9 Cl 3.01-3.12
5 In 0.7500 0.7995 0.7875  7 Cl 3.09-3.39
6 In 0.2500 0.2005 0.2125  7 Cl 3.09-3.39
7 In 0.2500 0.7005 0.2875  7 Cl 3.09-3.39
8 In 0.7500 0.2995 0.7125  7 Cl 3.09-3.39
9 Cl 0.7500 0.9100 0.6382  2 Ac 3.01, 1 In 3.09
10 Cl 0.2500 0.0900 0.3618  2 Ac 3.01, 1 In 3.09
11 Cl 0.2500 0.5900 0.1382  2 Ac 3.01, 1 In 3.09
12 Cl 0.7500 0.4100 0.8618  2 Ac 3.01, 1 In 3.09
13 Cl 0.7500 0.8575 0.4642  3 Ac 3.09
14 Cl 0.2500 0.1425 0.5358  3 Ac 3.09
15 Cl 0.2500 0.6425 0.9642  3 Ac 3.09
16 Cl 0.7500 0.3575 0.0358  3 Ac 3.09
17 Cl 0.7500 0.9897 0.9364  3 Ac 3.07-3.12, 1 In 3.32, 2 Cl 3.41
18 Cl 0.2500 0.0103 0.0636  3 Ac 3.07-3.12, 1 In 3.32, 2 Cl 3.41
19 Cl 0.2500 0.5103 0.4364  3 Ac 3.07-3.12, 1 In 3.32, 2 Cl 3.41
20 Cl 0.7500 0.4897 0.5636  3 Ac 3.07-3.12, 1 In 3.32, 2 Cl 3.41
21 Cl 0.7500 0.9090 0.1985  1 Ac 3.02, 4 In 3.24-3.32
22 Cl 0.2500 0.0910 0.8015  1 Ac 3.02, 4 In 3.24-3.32
23 Cl 0.2500 0.5910 0.6985  1 Ac 3.02, 4 In 3.24-3.32
24 Cl 0.7500 0.4090 0.3015  1 Ac 3.02, 4 In 3.24-3.32

Ac4In2Cl after structural relaxation, computed with PBE.

ΔE_f (raw) in kJ per mole of atoms: -45.5
Symmetry: No. 139
E_tot in eV per atom: -3.8655
Total magnetization in Bohr magnetons per cell: 0.00

Cell: 5.6057 5.6057 9.5773 Å, 107.02 107.02 90.00°
Last column: nearest neighbours and their distance in Å.
Atoms (fractional coordinates):
1 Ac 0.8200 0.8200 0.6400  1 Cl 3.14, 1 In 3.38
2 Ac 0.1800 0.1800 0.3600  1 Cl 3.14, 1 In 3.38
3 Ac 0.0000 0.5000 0.0000  2 Cl 2.80
4 Ac 0.5000 0.0000 0.0000  2 Cl 2.80
5 Cl 0.0000 0.0000 0.0000  6 Ac 2.80-3.14
6 In 0.6264 0.6264 0.2529  5 Ac 3.38-3.57
7 In 0.3736 0.3736 0.7471  5 Ac 3.38-3.57

AcIn3Cl6 after structural relaxation, computed with PBE.

ΔE_f (raw) in kJ per mole of atoms: -140.0
Symmetry: No. 14
E_tot in eV per atom: -3.7917
Total magnetization in Bohr magnetons per cell: 0.00

Cell: 7.6736 8.4275 11.1152 Å, 90.00 93.04 90.00°
Last column: nearest neighbours and their distance in Å.
Atoms (fractional coordinates):
1 Ac 0.5000 0.5000 0.5000  6 Cl 2.89-2.90
2 Ac 0.0000 0.0000 0.0000  6 Cl 2.89-2.90
3 In 0.4809 0.0638 0.7738  6 Cl 3.07-3.40
4 In 0.5000 0.5000 0.0000  6 Cl 3.17-3.29
5 In 0.5191 0.9362 0.2262  6 Cl 3.07-3.40
6 In 0.9809 0.4362 0.2738  6 Cl 3.07-3.40
7 In 0.0000 0.0000 0.5000  6 Cl 3.17-3.29
8 In 0.0191 0.5638 0.7262  6 Cl 3.07-3.40
9 Cl 0.3238 0.8378 0.9598  1 Ac 2.89, 2 In 3.10-3.17
10 Cl 0.3329 0.7776 0.5944  1 Ac 2.89
11 Cl 0.3484 0.5783 0.2632  1 Ac 2.90, 1 In 3.07
12 Cl 0.6516 0.4217 0.7368  1 Ac 2.90, 1 In 3.07
13 Cl 0.6671 0.2224 0.4056  1 Ac 2.89
14 Cl 0.6762 0.1622 0.0402  1 Ac 2.89, 2 In 3.10-3.17
15 Cl 0.8238 0.6622 0.4598  1 Ac 2.89, 2 In 3.10-3.17
16 Cl 0.8329 0.7224 0.0944  1 Ac 2.89
17 Cl 0.8484 0.9217 0.7632  1 Ac 2.90, 1 In 3.07
18 Cl 0.1516 0.0783 0.2368  1 Ac 2.90, 1 In 3.07
19 Cl 0.1671 0.2776 0.9056  1 Ac 2.89
20 Cl 0.1762 0.3378 0.5402  1 Ac 2.89, 2 In 3.10-3.17

Ac12In5Cl3 after structural relaxation, computed with PBE.

ΔE_f (raw) in kJ per mole of atoms: -4.3
Symmetry: No. 230
E_tot in eV per atom: -3.4713
Total magnetization in Bohr magnetons per cell: 21.98

Cell: 16.7126 16.7126 16.7126 Å, 109.47 109.47 109.47°
Last column: nearest neighbours and their distance in Å.
Atoms (fractional coordinates):
1 Cl 0.7500 0.3750 0.1250  4 Ac 3.28
2 Cl 0.8750 0.7500 0.1250  4 Ac 3.28
3 Cl 0.3750 0.7500 0.6250  4 Ac 3.28
4 Cl 0.2500 0.1250 0.3750  4 Ac 3.28
5 Cl 0.8750 0.1250 0.2500  4 Ac 3.28
6 Cl 0.3750 0.6250 0.2500  4 Ac 3.28
7 Cl 0.6250 0.3750 0.7500  4 Ac 3.28
8 Cl 0.1250 0.8750 0.7500  4 Ac 3.28
9 Cl 0.7500 0.8750 0.6250  4 Ac 3.28
10 Cl 0.6250 0.2500 0.3750  4 Ac 3.28
11 Cl 0.1250 0.2500 0.8750  4 Ac 3.28
12 Cl 0.2500 0.6250 0.8750  4 Ac 3.28
13 In 0.1250 0.3750 0.2500  4 Ac 3.24
14 In 0.0000 0.5000 0.0000  6 Ac 3.23
15 In 0.0000 0.0000 0.0000  6 Ac 3.23
16 In 0.3750 0.2500 0.1250  4 Ac 3.24
17 In 0.5000 0.0000 0.5000  6 Ac 3.23
18 In 0.5000 0.5000 0.0000  6 Ac 3.23
19 In 0.1250 0.7500 0.3750  4 Ac 3.24
20 In 0.7500 0.1250 0.8750  4 Ac 3.24
21 In 0.7500 0.6250 0.3750  4 Ac 3.24
22 In 0.3750 0.1250 0.7500  4 Ac 3.24
23 In 0.6250 0.8750 0.2500  4 Ac 3.24
24 In 0.5000 0.5000 0.5000  6 Ac 3.23
25 In 0.5000 0.0000 0.0000  6 Ac 3.23
26 In 0.0000 0.0000 0.5000  6 Ac 3.23
27 In 0.2500 0.3750 0.6250  4 Ac 3.24
28 In 0.2500 0.8750 0.1250  4 Ac 3.24
29 In 0.0000 0.5000 0.5000  6 Ac 3.23
30 In 0.8750 0.2500 0.6250  4 Ac 3.24
31 In 0.6250 0.7500 0.8750  4 Ac 3.24
32 In 0.8750 0.6250 0.7500  4 Ac 3.24
33 Ac 0.7260 0.1165 0.0568  2 In 3.23-3.24, 1 Cl 3.28
34 Ac 0.3307 0.5568 0.4403  2 In 3.23-3.24, 1 Cl 3.28
35 Ac 0.9432 0.3835 0.2740  2 In 3.23-3.24, 1 Cl 3.28
36 Ac 0.5568 0.2260 0.1165  2 In 3.23-3.24, 1 Cl 3.28
37 Ac 0.6095 0.7260 0.6693  2 In 3.23-3.24, 1 Cl 3.28
38 Ac 0.9432 0.5597 0.1693  2 In 3.23-3.24, 1 Cl 3.28
39 Ac 0.3307 0.7740 0.3905  2 In 3.23-3.24, 1 Cl 3.28
40 Ac 0.0597 0.8905 0.1165  2 In 3.23-3.24, 1 Cl 3.28
41 Ac 0.5597 0.9432 0.6693  2 In 3.23-3.24, 1 Cl 3.28
42 Ac 0.7260 0.6095 0.1693  2 In 3.23-3.24, 1 Cl 3.28
43 Ac 0.7740 0.4432 0.3835  2 In 3.23-3.24, 1 Cl 3.28
44 Ac 0.8307 0.9403 0.0568  2 In 3.23-3.24, 1 Cl 3.28
45 Ac 0.1165 0.7260 0.5568  2 In 3.23-3.24, 1 Cl 3.28
46 Ac 0.3835 0.4403 0.1095  2 In 3.23-3.24, 1 Cl 3.28
47 Ac 0.1095 0.9403 0.3835  2 In 3.23-3.24, 1 Cl 3.28
48 Ac 0.3905 0.1165 0.5597  2 In 3.23-3.24, 1 Cl 3.28
49 Ac 0.1095 0.1693 0.2260  2 In 3.23-3.24, 1 Cl 3.28
50 Ac 0.4432 0.6693 0.0597  2 In 3.23-3.24, 1 Cl 3.28
51 Ac 0.8307 0.8905 0.2740  2 In 3.23-3.24, 1 Cl 3.28
52 Ac 0.1165 0.3905 0.0597  2 In 3.23-3.24, 1 Cl 3.28
53 Ac 0.3835 0.9432 0.7740  2 In 3.23-3.24, 1 Cl 3.28
54 Ac 0.5597 0.6165 0.3905  2 In 3.23-3.24, 1 Cl 3.28
55 Ac 0.9403 0.8307 0.5568  2 In 3.23-3.24, 1 Cl 3.28
56 Ac 0.7740 0.3307 0.8905  2 In 3.23-3.24, 1 Cl 3.28
57 Ac 0.4403 0.3835 0.6095  2 In 3.23-3.24, 1 Cl 3.28
58 Ac 0.0597 0.1693 0.4432  2 In 3.23-3.24, 1 Cl 3.28
59 Ac 0.2260 0.6693 0.1095  2 In 3.23-3.24, 1 Cl 3.28
60 Ac 0.1693 0.1095 0.7260  2 In 3.23-3.24, 1 Cl 3.28
61 Ac 0.6165 0.0568 0.2260  2 In 3.23-3.24, 1 Cl 3.28
62 Ac 0.8835 0.6095 0.9403  2 In 3.23-3.24, 1 Cl 3.28
63 Ac 0.5568 0.3307 0.9403  2 In 3.23-3.24, 1 Cl 3.28
64 Ac 0.6095 0.8835 0.4403  2 In 3.23-3.24, 1 Cl 3.28
65 Ac 0.8905 0.8307 0.7740  2 In 3.23-3.24, 1 Cl 3.28
66 Ac 0.8905 0.0597 0.6165  2 In 3.23-3.24, 1 Cl 3.28
67 Ac 0.8835 0.2740 0.4432  2 In 3.23-3.24, 1 Cl 3.28
68 Ac 0.1693 0.0597 0.9432  2 In 3.23-3.24, 1 Cl 3.28
69 Ac 0.6165 0.5597 0.8905  2 In 3.23-3.24, 1 Cl 3.28
70 Ac 0.4403 0.0568 0.3307  2 In 3.23-3.24, 1 Cl 3.28
71 Ac 0.2740 0.3905 0.8307  2 In 3.23-3.24, 1 Cl 3.28
72 Ac 0.2260 0.5568 0.6165  2 In 3.23-3.24, 1 Cl 3.28
73 Ac 0.9403 0.1095 0.8835  2 In 3.23-3.24, 1 Cl 3.28
74 Ac 0.6693 0.2260 0.6095  2 In 3.23-3.24, 1 Cl 3.28
75 Ac 0.4432 0.7740 0.8835  2 In 3.23-3.24, 1 Cl 3.28
76 Ac 0.0568 0.4403 0.8307  2 In 3.23-3.24, 1 Cl 3.28
77 Ac 0.3905 0.2740 0.3307  2 In 3.23-3.24, 1 Cl 3.28
78 Ac 0.0568 0.6165 0.7260  2 In 3.23-3.24, 1 Cl 3.28
79 Ac 0.6693 0.4432 0.5597  2 In 3.23-3.24, 1 Cl 3.28
80 Ac 0.2740 0.8835 0.9432  2 In 3.23-3.24, 1 Cl 3.28

AcIn2Cl8 after structural relaxation, computed with PBE.

ΔE_f (raw) in kJ per mole of atoms: -133.5
Symmetry: No. 12
E_tot in eV per atom: -3.5976
Total magnetization in Bohr magnetons per cell: 0.00

Cell: 7.4030 7.9400 7.9400 Å, 58.03 77.88 77.88°
Last column: nearest neighbours and their distance in Å.
Atoms (fractional coordinates):
1 Ac 0.0000 0.0000 0.0000  6 Cl 2.92-2.95
2 In 0.6801 0.7922 0.7922  4 Cl 2.40-2.58
3 In 0.3199 0.2078 0.2078  4 Cl 2.40-2.58
4 Cl 0.2008 0.3388 0.8781  1 In 2.53
5 Cl 0.7992 0.1219 0.6612  1 In 2.53
6 Cl 0.3212 0.8306 0.8306  1 In 2.58
7 Cl 0.6788 0.1694 0.1694  1 In 2.58
8 Cl 0.2008 0.8781 0.3388  1 In 2.53
9 Cl 0.7992 0.6612 0.1219  1 In 2.53
10 Cl 0.7879 0.6146 0.6146  1 In 2.40
11 Cl 0.2121 0.3854 0.3854  1 In 2.40

What did the fifth record say?
Ac4In2Cl after structural relaxation, computed with PBE.

ΔE_f (raw) in kJ per mole of atoms: -45.5
Symmetry: No. 139
E_tot in eV per atom: -3.8655
Total magnetization in Bohr magnetons per cell: 0.00

Cell: 5.6057 5.6057 9.5773 Å, 107.02 107.02 90.00°
Last column: nearest neighbours and their distance in Å.
Atoms (fractional coordinates):
1 Ac 0.8200 0.8200 0.6400  1 Cl 3.14, 1 In 3.38
2 Ac 0.1800 0.1800 0.3600  1 Cl 3.14, 1 In 3.38
3 Ac 0.0000 0.5000 0.0000  2 Cl 2.80
4 Ac 0.5000 0.0000 0.0000  2 Cl 2.80
5 Cl 0.0000 0.0000 0.0000  6 Ac 2.80-3.14
6 In 0.6264 0.6264 0.2529  5 Ac 3.38-3.57
7 In 0.3736 0.3736 0.7471  5 Ac 3.38-3.57

- ΔE_f (raw) of number 2 (Ac4Si2ICl)?
  -87.4 kJ per mole of atoms